Here is a geometry-optimized ZnCuSeN2 structure from Alexandria. Energies are from PBE.

Properties
- Volume: 16.600 Å³ per atom
- Energy: -0.1324 Ha/atom
- Distance to the lowest polymorph of the same formula: 196 meV/atom
- Energy relative to the elements, uncorrected: 1.499 eV per atom
- Space group: P4/mmm (123)

a b c (Å): 3.7869 3.7869 5.7875
angles (deg): 90.00 90.00 90.00
Last column: nearest neighbours and their distance in Å.
Positions (direct):
N 0.0000 0.5000 0.0000  2 Zn 1.89
Cu 0.5000 0.5000 0.5000  4 Se 2.68
N 0.5000 0.0000 0.0000  2 Zn 1.89
Zn 0.0000 0.0000 0.0000  4 N 1.89
Se 0.0000 0.0000 0.5000  4 Cu 2.68, 2 Zn 2.89


Here is a geometry-optimized ZnCuSeN2 structure from Alexandria. Energies are from PBE.

Properties
- Volume: 16.066 Å³ per atom
- Energy: -0.1396 Ha/atom
- Distance to the lowest polymorph of the same formula: 0 meV/atom
- Energy relative to the elements, uncorrected: 1.304 eV per atom
- Space group: P4/mmm (123)

a b c (Å): 3.7207 3.7207 5.8029
angles (deg): 90.00 90.00 90.00
Last column: nearest neighbours and their distance in Å.
Positions (direct):
N 0.5000 0.0000 0.0000  2 Cu 1.86
Zn 0.5000 0.5000 0.5000  4 Se 2.63
N 0.0000 0.5000 0.0000  2 Cu 1.86
Cu 0.0000 0.0000 0.0000  4 N 1.86
Se 0.0000 0.0000 0.5000  4 Zn 2.63, 2 Cu 2.90


Here is a geometry-optimized CuSi2N3 structure from Alexandria. Energies are from PBE.

Properties
- Volume: 10.113 Å³ per atom
- Energy: -0.2707 Ha/atom
- Energy relative to the elements, uncorrected: -0.712 eV per atom
- Space group: Cmc2_1 (36)

a b c (Å): 5.3503 5.3503 4.9059
angles (deg): 90.00 90.00 120.22
Last column: nearest neighbours and their distance in Å.
Positions (direct):
N 0.2620 0.2620 0.9059  2 Si 1.70
Cu 0.6299 0.6299 0.0110  2 N 2.02-2.03
Si 0.0088 0.6725 0.4898  4 N 1.70-1.78
N 0.9417 0.3397 0.3458  3 Si 1.77-1.78
N 0.0583 0.6603 0.8458  3 Si 1.77-1.78
Cu 0.3701 0.3701 0.5110  2 N 2.02-2.03
Si 0.3275 0.9912 0.9898  4 N 1.70-1.78
N 0.6603 0.0583 0.8458  3 Si 1.77-1.78
N 0.7380 0.7380 0.4059  2 Si 1.70
Si 0.9912 0.3275 0.9898  4 N 1.70-1.78
N 0.3397 0.9417 0.3458  3 Si 1.77-1.78
Si 0.6725 0.0088 0.4898  4 N 1.70-1.78


Here is a geometry-optimized Cu3SiN structure from Alexandria. Energies are from PBE.

Properties
- Volume: 17.446 Å³ per atom
- Energy: -0.1368 Ha/atom
- Distance to the lowest polymorph of the same formula: 991 meV/atom
- Energy relative to the elements, uncorrected: 1.485 eV per atom
- Space group: Pm-3m (221)

a b c (Å): 4.4349 4.4349 4.4349
angles (deg): 90.00 90.00 90.00
Last column: nearest neighbours and their distance in Å.
Positions (direct):
Cu 0.0000 0.0000 0.5000  2 Si 2.22
N 0.5000 0.5000 0.5000  12 Cu 3.14
Si 0.0000 0.0000 0.0000  6 Cu 2.22
Cu 0.5000 0.0000 0.0000  2 Si 2.22
Cu 0.0000 0.5000 0.0000  2 Si 2.22